# USnAu | OQMD | PBE-GGA | optimized geometry
data_USnAu
_chemical_formula_sum 'U2 Sn2 Au2'
_cell_length_a 5.1032
_cell_length_b 5.1032
_cell_length_c 5.8952
_cell_angle_alpha 90.00
_cell_angle_beta 90.00
_cell_angle_gamma 120.00
_symmetry_space_group_name_H-M 'P 63/m m c'
_symmetry_Int_Tables_number 194
_symmetry_space_group_name_Hall '-P 6c 2c'
loop_
_atom_site_label
_atom_site_type_symbol
_atom_site_fract_x
_atom_site_fract_y
_atom_site_fract_z
U1 U 0.0000 0.0000 0.0000
Sn1 Sn 0.3333 0.6667 0.2500
Au1 Au 0.3333 0.6667 0.7500
# VASP energy ... -38.5 eV for the cell shown